A relaxed structure of LiZr4Os3. Source: the Alexandria database, functional PBE.

Summary:
ΔE_f ... -400 meV/atom
Crystal system ... orthorhombic
Uncorrected energy ... -9.12 eV/atom

Unit cell a=3.2735 b=4.6667 c=9.3359 alpha=90.00 beta=90.00 gamma=90.00
Space group Pmmm (No. 47)
Inequivalent atoms, fractional coordinates:
Li: 0.0000 0.0000 0.0000 (multiplicity 1)
Zr: 0.5000 0.0000 0.2517 (multiplicity 2)
Zr: 0.5000 0.5000 0.0000 (multiplicity 1)
Zr: 0.5000 0.5000 0.5000 (multiplicity 1)
Os: 0.0000 0.0000 0.5000 (multiplicity 1)
Os: 0.0000 0.5000 0.2482 (multiplicity 2)

---

A relaxed structure of Li2ZrOs. Source: the Alexandria database, functional PBE.

Summary:
ΔE_f ... 303 meV/atom
Crystal system ... orthorhombic
Uncorrected energy ... -5.60 eV/atom

Unit cell a=2.8156 b=4.6564 c=10.1945 alpha=90.00 beta=90.00 gamma=90.00
Space group Cmmm (No. 65)
Inequivalent atoms, fractional coordinates:
Li: 0.0000 0.0000 0.2203 (multiplicity 4)
Zr: 0.0000 0.5000 0.5000 (multiplicity 2)
Os: 0.0000 0.5000 0.0000 (multiplicity 2)

---

A relaxed structure of Li2ZrOs. Source: the Alexandria database, functional PBE.

Summary:
ΔE_f ... 117 meV/atom
Crystal system ... monoclinic
Uncorrected energy ... -5.78 eV/atom

Unit cell a=2.7560 b=4.8754 c=4.9842 alpha=90.00 beta=99.12 gamma=90.00
Space group P2/m (No. 10)
Inequivalent atoms, fractional coordinates:
Li: 0.2096 0.0000 0.2825 (multiplicity 2)
Zr: 0.5000 0.5000 0.0000 (multiplicity 1)
Os: 0.0000 0.5000 0.5000 (multiplicity 1)

---

A relaxed structure of Li2ZrOs. Source: the Alexandria database, functional PBE.

Summary:
ΔE_f ... 228 meV/atom
Crystal system ... monoclinic
Uncorrected energy ... -5.67 eV/atom

Unit cell a=9.0596 b=2.6656 c=5.5546 alpha=90.00 beta=93.98 gamma=90.00
Space group Cm (No. 8)
Inequivalent atoms, fractional coordinates:
Li: 0.0000 0.0000 0.0000 (multiplicity 2)
Li: 0.2492 0.5000 0.2094 (multiplicity 2)
Zr: 0.0041 0.5000 0.5287 (multiplicity 2)
Os: 0.2601 0.0000 0.7626 (multiplicity 2)

---

A relaxed structure of Li2ZrOs. Source: the Alexandria database, functional PBE.

Summary:
ΔE_f ... 134 meV/atom
Crystal system ... monoclinic
Uncorrected energy ... -5.77 eV/atom

Unit cell a=2.7462 b=4.2518 c=5.8284 alpha=90.00 beta=98.87 gamma=90.00
Space group Pm (No. 6)
Inequivalent atoms, fractional coordinates:
Li: 0.0000 0.0000 0.0000 (multiplicity 1)
Li: 0.1570 0.5000 0.7889 (multiplicity 1)
Zr: 0.4888 0.0000 0.4631 (multiplicity 1)
Os: 0.7382 0.5000 0.2365 (multiplicity 1)

---

A relaxed structure of Li2ZrOs. Source: the Alexandria database, functional PBE.

Summary:
ΔE_f ... 320 meV/atom
Crystal system ... tetragonal
Uncorrected energy ... -5.58 eV/atom

Unit cell a=3.4080 b=3.4080 c=5.2428 alpha=90.00 beta=90.00 gamma=90.00
Space group P4/mmm (No. 123)
Inequivalent atoms, fractional coordinates:
Li: 0.0000 0.0000 0.2053 (multiplicity 2)
Zr: 0.5000 0.5000 0.5000 (multiplicity 1)
Os: 0.5000 0.5000 0.0000 (multiplicity 1)

---

A relaxed structure of Li2ZrOs. Source: the Alexandria database, functional PBE.

Summary:
ΔE_f ... 254 meV/atom
Crystal system ... tetragonal
Uncorrected energy ... -5.65 eV/atom

Unit cell a=3.7393 b=3.7393 c=20.6133 alpha=90.00 beta=90.00 gamma=90.00
Space group I-42d (No. 122)
Inequivalent atoms, fractional coordinates:
Li: 0.2071 0.7500 0.1250 (multiplicity 8)
Zr: 0.0000 0.0000 0.5000 (multiplicity 4)
Os: 0.0000 0.0000 0.0000 (multiplicity 4)

---

A relaxed structure of Li2ZrOs. Source: the Alexandria database, functional PBE.

Summary:
ΔE_f ... 42 meV/atom
Crystal system ... tetragonal
Uncorrected energy ... -5.86 eV/atom

Unit cell a=3.2774 b=3.2774 c=6.6405 alpha=90.00 beta=90.00 gamma=90.00
Space group P4mm (No. 99)
Inequivalent atoms, fractional coordinates:
Li: 0.0000 0.0000 0.0000 (multiplicity 1)
Li: 0.5000 0.5000 0.2153 (multiplicity 1)
Zr: 0.5000 0.5000 0.6469 (multiplicity 1)
Os: 0.0000 0.0000 0.4412 (multiplicity 1)

---

A relaxed structure of LiZr6Os5. Source: the Alexandria database, functional PBE.

Summary:
ΔE_f ... -462 meV/atom
Crystal system ... orthorhombic
Uncorrected energy ... -9.57 eV/atom

Unit cell a=4.6618 b=6.5489 c=14.0047 alpha=90.00 beta=90.00 gamma=90.00
Space group Immm (No. 71)
Inequivalent atoms, fractional coordinates:
Li: 0.0000 0.0000 0.0000 (multiplicity 2)
Zr: 0.0000 0.2500 0.1672 (multiplicity 8)
Zr: 0.0000 0.2502 0.5000 (multiplicity 4)
Os: 0.0000 0.0000 0.3333 (multiplicity 4)
Os: 0.0000 0.5000 0.0000 (multiplicity 2)
Os: 0.0000 0.5000 0.3342 (multiplicity 4)

---

A relaxed structure of Li2ZrOs. Source: the Alexandria database, functional PBE.

Summary:
ΔE_f ... 267 meV/atom
Crystal system ... trigonal
Uncorrected energy ... -5.63 eV/atom

Unit cell a=2.7475 b=2.7475 c=30.6500 alpha=90.00 beta=90.00 gamma=120.00
Space group R-3m (No. 166, hexagonal axes)
Inequivalent atoms, fractional coordinates:
Li: 0.0000 0.0000 0.2401 (multiplicity 6)
Zr: 0.0000 0.0000 0.0000 (multiplicity 3)
Os: 0.0000 0.0000 0.5000 (multiplicity 3)

---

A relaxed structure of LiZrOs3. Source: the Alexandria database, functional PBE.

Summary:
ΔE_f ... 2243 meV/atom
Crystal system ... cubic
Uncorrected energy ... -6.59 eV/atom

Unit cell a=4.8953 b=4.8953 c=4.8953 alpha=90.00 beta=90.00 gamma=90.00
Space group Pm-3m (No. 221)
Inequivalent atoms, fractional coordinates:
Li: 0.0000 0.0000 0.0000 (multiplicity 1)
Zr: 0.5000 0.5000 0.5000 (multiplicity 1)
Os: 0.0000 0.5000 0.5000 (multiplicity 3)

---

A relaxed structure of Li2ZrOs. Source: the Alexandria database, functional PBE.

Summary:
ΔE_f ... 71 meV/atom
Crystal system ... tetragonal
Uncorrected energy ... -5.83 eV/atom

Unit cell a=4.5070 b=4.5070 c=6.3597 alpha=90.00 beta=90.00 gamma=90.00
Space group I-4m2 (No. 119)
Inequivalent atoms, fractional coordinates:
Li: 0.0000 0.0000 0.0000 (multiplicity 2)
Li: 0.0000 0.5000 0.2500 (multiplicity 2)
Zr: 0.0000 0.0000 0.5000 (multiplicity 2)
Os: 0.0000 0.5000 0.7500 (multiplicity 2)

---

A relaxed structure of Li2ZrOs. Source: the Alexandria database, functional PBE.

Summary:
ΔE_f ... 166 meV/atom
Crystal system ... orthorhombic
Uncorrected energy ... -5.74 eV/atom

Unit cell a=3.2701 b=4.7737 c=9.3120 alpha=90.00 beta=90.00 gamma=90.00
Space group Cmm2 (No. 35)
Inequivalent atoms, fractional coordinates:
Li: 0.0000 0.0000 0.0000 (multiplicity 2)
Li: 0.0000 0.5000 0.2692 (multiplicity 2)
Zr: 0.0000 0.0000 0.5570 (multiplicity 2)
Os: 0.0000 0.5000 0.7793 (multiplicity 2)

---

A relaxed structure of Li2ZrOs. Source: the Alexandria database, functional PBE.

Summary:
ΔE_f ... 419 meV/atom
Crystal system ... tetragonal
Uncorrected energy ... -5.48 eV/atom

Unit cell a=2.6498 b=2.6498 c=9.5721 alpha=90.00 beta=90.00 gamma=90.00
Space group P4/mmm (No. 123)
Inequivalent atoms, fractional coordinates:
Li: 0.0000 0.0000 0.2159 (multiplicity 2)
Zr: 0.5000 0.5000 0.5000 (multiplicity 1)
Os: 0.5000 0.5000 0.0000 (multiplicity 1)

---

A relaxed structure of Li2ZrOs. Source: the Alexandria database, functional PBE.

Summary:
ΔE_f ... 58 meV/atom
Crystal system ... tetragonal
Uncorrected energy ... -5.84 eV/atom

Unit cell a=3.7727 b=3.7727 c=9.1323 alpha=90.00 beta=90.00 gamma=90.00
Space group I4/mmm (No. 139)
Inequivalent atoms, fractional coordinates:
Li: 0.0000 0.5000 0.2500 (multiplicity 4)
Zr: 0.0000 0.0000 0.0000 (multiplicity 2)
Os: 0.0000 0.0000 0.5000 (multiplicity 2)

---

A relaxed structure of Li2ZrOs. Source: the Alexandria database, functional PBE.

Summary:
ΔE_f ... 88 meV/atom
Crystal system ... tetragonal
Uncorrected energy ... -5.81 eV/atom

Unit cell a=3.7534 b=3.7534 c=4.7707 alpha=90.00 beta=90.00 gamma=90.00
Space group P4/mmm (No. 123)
Inequivalent atoms, fractional coordinates:
Li: 0.0000 0.5000 0.0000 (multiplicity 2)
Zr: 0.0000 0.0000 0.5000 (multiplicity 1)
Os: 0.5000 0.5000 0.5000 (multiplicity 1)

---

A relaxed structure of Li4ZrOs. Source: the Alexandria database, functional PBE.

Summary:
ΔE_f ... 224 meV/atom
Crystal system ... cubic
Uncorrected energy ... -4.35 eV/atom

Unit cell a=6.9751 b=6.9751 c=6.9751 alpha=90.00 beta=90.00 gamma=90.00
Space group F-43m (No. 216)
Inequivalent atoms, fractional coordinates:
Li: 0.1219 0.1219 0.1219 (multiplicity 16)
Zr: 0.0000 0.0000 0.5000 (multiplicity 4)
Os: 0.2500 0.2500 0.7500 (multiplicity 4)

---

A relaxed structure of Li2ZrOs. Source: the Alexandria database, functional PBE.

Summary:
ΔE_f ... 183 meV/atom
Crystal system ... monoclinic
Uncorrected energy ... -5.72 eV/atom

Unit cell a=5.2839 b=10.0948 c=2.7945 alpha=90.00 beta=114.65 gamma=90.00
Space group C2/m (No. 12)
Inequivalent atoms, fractional coordinates:
Li: 0.2500 0.2500 0.0000 (multiplicity 4)
Zr: 0.0000 0.0000 0.5000 (multiplicity 2)
Os: 0.0000 0.5000 0.5000 (multiplicity 2)

---

A relaxed structure of LiP. Source: the Alexandria database, functional PBE.

Summary:
ΔE_f ... -181 meV/atom
Crystal system ... cubic
Uncorrected energy ... -3.84 eV/atom

Unit cell a=3.0330 b=3.0330 c=3.0330 alpha=90.00 beta=90.00 gamma=90.00
Space group Pm-3m (No. 221)
Inequivalent atoms, fractional coordinates:
Li: 0.0000 0.0000 0.0000 (multiplicity 1)
P: 0.5000 0.5000 0.5000 (multiplicity 1)

---

A relaxed structure of LiP7. Source: the Alexandria database, functional PBE.

Summary:
ΔE_f ... 583 meV/atom
Crystal system ... cubic
Uncorrected energy ... -4.39 eV/atom

Unit cell a=7.7626 b=7.7626 c=7.7626 alpha=90.00 beta=90.00 gamma=90.00
Space group Fm-3m (No. 225)
Inequivalent atoms, fractional coordinates:
Li: 0.0000 0.0000 0.0000 (multiplicity 4)
P: 0.0000 0.0000 0.5000 (multiplicity 4)
P: 0.0000 0.2500 0.2500 (multiplicity 24)